Computed, not measured: an optimized crystal structure of NbAgSO at the PBE level of DFT.

Summary:
E: -6.413 eV per atom
Crystal system: monoclinic
Excess energy over the best structure of this formula in the dataset: 0.158 eV/f.u.
Total magnetic moment: 0.0 μB per formula unit

Unit cell a=5.2682 b=5.2885 c=10.1576 alpha=90.00 beta=93.41 gamma=90.00
Fractional coordinates of all 16 atoms:
Ag 0.0721 0.3707 0.2847
Ag 0.2086 0.0372 0.4981
Ag 0.7914 0.5372 0.5019
Ag 0.9279 0.8707 0.7153
Nb 0.4593 0.3830 0.0892
Nb 0.0613 0.7807 0.0902
Nb 0.9387 0.2807 0.9098
Nb 0.5407 0.8830 0.9108
O 0.2504 0.0783 0.0008
O 0.7629 0.0847 0.0628
O 0.2371 0.5847 0.9372
O 0.7496 0.5783 0.9992
S 0.7260 0.6428 0.2672
S 0.3387 0.0227 0.2704
S 0.6613 0.5227 0.7296
S 0.2740 0.1428 0.7328